DFT (PBE+U) results for a relaxed structure of CoTe3O.

Calculated values
Spin magnetization in μB/cell: 1.23
Symmetry: No. 221
Offset from the most stable computed form in meV per atom: 433.1

The structure in extended XYZ format:
```
5
Lattice="4.905 0.000 0.000 0.000 4.905 0.000 0.000 0.000 4.905" Properties=species:S:1:pos:R:3 pbc="T T T"
Co 0.000 0.000 0.000
Te 0.000 0.000 2.453
Te 0.000 2.453 0.000
Te 2.453 0.000 0.000
O 2.453 2.453 2.453
```